Record 1
# NaFeB2

A relaxed structure of NaFeB2 (PBE, Alexandria via LeMat-Bulk).

extended XYZ file:
```
8
Lattice="4.1981 0.0000 0.0000 0.0000 4.1981 0.0000 2.0990 2.0990 6.3173" Properties=species:S:1:pos:R:3 pbc="T T T"
Na 2.0990 2.0990 0.0000
Na 2.0990 4.1981 3.1586
B 4.1982 1.0495 1.5793
B 4.1980 3.1486 1.5793
B 3.1486 2.0989 4.7380
B 5.2476 2.0992 4.7380
Fe 0.0000 0.0000 0.0000
Fe 4.1981 2.0990 3.1586
```

Magnetization, μB/cell: 1.12
DFT total energy, Ry/atom: -0.3802

=====

Record 2
# NaFe3B

A relaxed structure of NaFe3B (PBE, Alexandria via LeMat-Bulk).

extended XYZ file:
```
5
Lattice="-1.1861 3.3403 -2.4711 -3.2987 -2.3195 -1.5522 -2.5264 1.4605 3.1868" Properties=species:S:1:pos:R:3 pbc="T T T"
Na 0.0000 0.0000 0.0000
B -3.5056 1.2406 -0.4183
Fe -1.6494 -1.1598 -0.7761
Fe -1.2632 0.7302 1.5934
Fe -0.5930 1.6702 -1.2356
```

Magnetization, μB/cell: 8.24
DFT total energy, Ry/atom: -0.2994

=====

Record 3
# NaFeB2

A relaxed structure of NaFeB2 (PBE, Alexandria via LeMat-Bulk).

extended XYZ file:
```
4
Lattice="-3.7367 -0.6530 0.1918 -2.4177 2.9032 0.3907 -2.2530 0.9973 -2.8906" Properties=species:S:1:pos:R:3 pbc="T T T"
Na 0.0000 0.0000 0.0000
B -2.1018 0.8119 -0.5770
B -6.3055 2.4356 -1.7311
Fe -4.2037 1.6237 -1.1541
```

Magnetization, μB/cell: 1.52
DFT total energy, Ry/atom: -0.3411

=====

Record 4
# NaFe3B

A relaxed structure of NaFe3B (PBE, Alexandria via LeMat-Bulk).

extended XYZ file:
```
5
Lattice="-3.1819 -1.9293 1.3704 2.2548 -3.1690 0.7738 0.7187 1.4001 3.6398" Properties=species:S:1:pos:R:3 pbc="T T T"
Na -0.1042 -1.8491 2.8920
B 0.0000 0.0000 0.0000
Fe 1.1274 -1.5845 0.3869
Fe 0.3593 0.7001 1.8199
Fe -1.5910 -0.9647 0.6852
```

Magnetization, μB/cell: 6.00
DFT total energy, Ry/atom: -0.4598

=====

Record 5
# NaFeNiB2

A relaxed structure of NaFeNiB2 (PBE, Alexandria via LeMat-Bulk).

extended XYZ file:
```
5
Lattice="-1.2336 -2.7113 2.3795 3.9229 -2.2876 -0.5728 1.5285 1.8850 2.9403" Properties=species:S:1:pos:R:3 pbc="T T T"
Ni 0.0000 0.0000 0.0000
B 0.7643 0.9425 1.4702
B -0.6168 -1.3557 1.1897
Fe 2.1089 -1.5570 2.3735
Na 1.9614 -1.1438 -0.2864
```

Magnetization, μB/cell: 3.11
DFT total energy, Ry/atom: -0.3397

=====

Q: What is the formula in the fourth record?
A: NaFe3B